An optimized crystal structure of LiP4WO13. Source: the Alexandria database, functional PBE+U.

Summary:
* V: 1053.8 Å³/cell
* final energy: -7.1299 eV per atom
* D(E_F): 0.000 states/eV/atom
* symmetry: No. 19

```
LiP4WO13
1.0
7.1549 0.0000 0.0000
0.0000 8.3250 0.0000
0.0000 0.0000 17.6912
Li P W O
4 16 4 52
Direct
0.2148 0.2263 0.0147 Li
0.2852 0.7737 0.5147 Li
0.7148 0.2737 0.9853 Li
0.7852 0.7263 0.4853 Li
0.0563 0.2975 0.4259 P
0.0928 0.9082 0.9277 P
0.0955 0.3318 0.1775 P
0.1002 0.9036 0.6630 P
0.3998 0.0964 0.1630 P
0.4045 0.6682 0.6775 P
0.4072 0.0918 0.4277 P
0.4437 0.7025 0.9259 P
0.5563 0.2025 0.5741 P
0.5928 0.5918 0.0723 P
0.5955 0.1682 0.8225 P
0.6002 0.5964 0.3370 P
0.8998 0.4036 0.8370 P
0.9045 0.8318 0.3225 P
0.9072 0.4082 0.5723 P
0.9437 0.7975 0.0741 P
0.2217 0.2916 0.7085 W
0.2783 0.7084 0.2085 W
0.7217 0.2084 0.2915 W
0.7783 0.7916 0.7915 W
0.0013 0.7825 0.9854 O
0.0032 0.8677 0.8510 O
0.0741 0.3366 0.0944 O
0.0773 0.7996 0.2740 O
0.0805 0.0777 0.9514 O
0.0825 0.3334 0.8045 O
0.1188 0.8997 0.5799 O
0.1232 0.0754 0.6987 O
0.1238 0.7408 0.1139 O
0.1420 0.4509 0.4044 O
0.1816 0.4918 0.2111 O
0.1925 0.1437 0.4201 O
0.2374 0.1952 0.2066 O
0.2626 0.8048 0.7066 O
0.3075 0.8563 0.9201 O
0.3184 0.5082 0.7111 O
0.3580 0.5491 0.9044 O
0.3762 0.2592 0.6139 O
0.3768 0.9246 0.1987 O
0.3812 0.1003 0.0799 O
0.4175 0.6666 0.3045 O
0.4195 0.9223 0.4514 O
0.4227 0.2004 0.7740 O
0.4259 0.6634 0.5944 O
0.4968 0.1323 0.3510 O
0.4987 0.2175 0.4854 O
0.5013 0.7175 0.0146 O
0.5032 0.6323 0.1490 O
0.5741 0.1634 0.9056 O
0.5773 0.7004 0.7260 O
0.5805 0.4223 0.0486 O
0.5825 0.1666 0.1955 O
0.6188 0.6003 0.4201 O
0.6232 0.4246 0.3013 O
0.6238 0.7592 0.8861 O
0.6420 0.0491 0.5956 O
0.6816 0.0082 0.7889 O
0.6925 0.3563 0.5799 O
0.7374 0.3048 0.7934 O
0.7626 0.6952 0.2934 O
0.8075 0.6437 0.0799 O
0.8184 0.9918 0.2889 O
0.8580 0.9509 0.0956 O
0.8762 0.2408 0.3861 O
0.8768 0.5754 0.8013 O
0.8812 0.3997 0.9201 O
0.9175 0.8334 0.6955 O
0.9195 0.5777 0.5486 O
0.9227 0.2996 0.2260 O
0.9259 0.8366 0.4056 O
0.9968 0.3677 0.6490 O
0.9987 0.2825 0.5146 O
```